(1)
# Ho12Sc6Cd, optimized geometry, DFT PBE
# DFT total energy in eV/atom: -4.831
# Energy relative to the elements in eV per atom: 0.107
# Size of the total moment in μB/f.u.: 0.01
data_Ho12Sc6Cd
_chemical_formula_sum 'Ho12 Sc6 Cd1'
_space_group_name_H-M_alt 'P 1'
_space_group_IT_number 1
_cell_length_a 8.2094
_cell_length_b 8.2094
_cell_length_c 8.2094
_cell_angle_alpha 88.21
_cell_angle_beta 88.21
_cell_angle_gamma 88.21
loop_
_space_group_symop_operation_xyz
'x,y,z'
loop_
_atom_site_label
_atom_site_type_symbol
_atom_site_fract_x
_atom_site_fract_y
_atom_site_fract_z
Ho1 Ho 0.7888 0.5392 0.4338
Ho2 Ho 0.8296 0.6317 0.9889
Ho3 Ho 0.4608 0.5662 0.2112
Ho4 Ho 0.5662 0.2112 0.4608
Ho5 Ho 0.3683 0.0111 0.1704
Ho6 Ho 0.6317 0.9889 0.8296
Ho7 Ho 0.1704 0.3683 0.0111
Ho8 Ho 0.2112 0.4608 0.5662
Ho9 Ho 0.4338 0.7888 0.5392
Ho10 Ho 0.9889 0.8296 0.6317
Ho11 Ho 0.5392 0.4338 0.7888
Ho12 Ho 0.0111 0.1704 0.3683
Sc1 Sc 0.2766 0.7422 0.9004
Sc2 Sc 0.7422 0.9004 0.2766
Sc3 Sc 0.0996 0.7234 0.2578
Sc4 Sc 0.9004 0.2766 0.7422
Sc5 Sc 0.2578 0.0996 0.7234
Sc6 Sc 0.7234 0.2578 0.0996
Cd1 Cd 0.0000 0.0000 0.0000

(2)
# Ho9Sc4Cd11, optimized geometry, DFT PBE
# DFT total energy in eV/atom: -3.415
# Energy relative to the elements in eV per atom: -0.223
# Size of the total moment in μB/f.u.: 1.10
data_Ho9Sc4Cd11
_chemical_formula_sum 'Ho9 Sc4 Cd11'
_space_group_name_H-M_alt 'P 1'
_space_group_IT_number 1
_cell_length_a 3.4470
_cell_length_b 13.6876
_cell_length_c 13.6876
_cell_angle_alpha 111.32
_cell_angle_beta 90.00
_cell_angle_gamma 90.00
loop_
_space_group_symop_operation_xyz
'x,y,z'
loop_
_atom_site_label
_atom_site_type_symbol
_atom_site_fract_x
_atom_site_fract_y
_atom_site_fract_z
Ho1 Ho 0.5000 0.8530 0.3725
Ho2 Ho 0.5000 0.9562 0.7909
Ho3 Ho 0.5000 0.0438 0.2091
Ho4 Ho 0.5000 0.2091 0.0438
Ho5 Ho 0.5000 0.3725 0.8530
Ho6 Ho 0.5000 0.5000 0.5000
Ho7 Ho 0.5000 0.7909 0.9562
Ho8 Ho 0.5000 0.1470 0.6275
Ho9 Ho 0.5000 0.6275 0.1470
Sc1 Sc 0.5000 0.5585 0.7458
Sc2 Sc 0.5000 0.7458 0.5585
Sc3 Sc 0.5000 0.2542 0.4415
Sc4 Sc 0.5000 0.4415 0.2542
Cd1 Cd 0.0000 0.1663 0.8337
Cd2 Cd 0.0000 0.4141 0.0591
Cd3 Cd 0.0000 0.0000 0.0000
Cd4 Cd 0.0000 0.8337 0.1663
Cd5 Cd 0.0000 0.6364 0.3636
Cd6 Cd 0.0000 0.2648 0.2648
Cd7 Cd 0.0000 0.7352 0.7352
Cd8 Cd 0.0000 0.5859 0.9409
Cd9 Cd 0.0000 0.0591 0.4141
Cd10 Cd 0.0000 0.9409 0.5859
Cd11 Cd 0.0000 0.3636 0.6364

(3)
# HoScCd6, optimized geometry, DFT PBE
# DFT total energy in eV/atom: -2.288
# Energy relative to the elements in eV per atom: -0.238
# Size of the total moment in μB/f.u.: 0.00
data_HoScCd6
_chemical_formula_sum 'Ho1 Sc1 Cd6'
_space_group_name_H-M_alt 'P 1'
_space_group_IT_number 1
_cell_length_a 4.8187
_cell_length_b 6.3925
_cell_length_c 6.3925
_cell_angle_alpha 112.41
_cell_angle_beta 90.00
_cell_angle_gamma 90.00
loop_
_space_group_symop_operation_xyz
'x,y,z'
loop_
_atom_site_label
_atom_site_type_symbol
_atom_site_fract_x
_atom_site_fract_y
_atom_site_fract_z
Cd1 Cd 0.5000 0.4323 0.1268
Cd2 Cd 0.0000 0.0616 0.3723
Cd3 Cd 0.5000 0.8732 0.5677
Cd4 Cd 0.0000 0.6277 0.9384
Cd5 Cd 0.0000 0.5750 0.4250
Cd6 Cd 0.5000 0.9304 0.0696
Ho1 Ho 0.5000 0.3812 0.6188
Sc1 Sc 0.0000 0.1182 0.8818

(4)
# HoSc2Cd, optimized geometry, DFT PBE
# DFT total energy in eV/atom: -4.577
# Energy relative to the elements in eV per atom: -0.038
# Size of the total moment in μB/f.u.: 0.00
# Energy relative to the lowest polymorph listed for this composition in meV/atom: 91.4
data_HoSc2Cd
_chemical_formula_sum 'Ho2 Sc4 Cd2'
_space_group_name_H-M_alt 'P 1'
_space_group_IT_number 1
_cell_length_a 4.9063
_cell_length_b 7.4219
_cell_length_c 6.1850
_cell_angle_alpha 89.99
_cell_angle_beta 66.63
_cell_angle_gamma 89.99
loop_
_space_group_symop_operation_xyz
'x,y,z'
loop_
_atom_site_label
_atom_site_type_symbol
_atom_site_fract_x
_atom_site_fract_y
_atom_site_fract_z
Sc1 Sc 0.6380 0.0389 0.7239
Sc2 Sc 0.3618 0.5389 0.2761
Sc3 Sc 0.6382 0.4611 0.7239
Sc4 Sc 0.3620 0.9611 0.2761
Ho1 Ho 0.9326 0.2500 0.1347
Ho2 Ho 0.0674 0.7500 0.8653
Cd1 Cd 0.2010 0.2500 0.5980
Cd2 Cd 0.7990 0.7500 0.4020

(5)
# HoSc2Cd, optimized geometry, DFT PBE
# DFT total energy in eV/atom: -4.655
# Energy relative to the elements in eV per atom: -0.116
# Size of the total moment in μB/f.u.: 0.00
# Energy relative to the lowest polymorph listed for this composition in meV/atom: 12.9
data_HoSc2Cd
_chemical_formula_sum 'Ho1 Sc2 Cd1'
_space_group_name_H-M_alt 'P 1'
_space_group_IT_number 1
_cell_length_a 3.3884
_cell_length_b 3.3884
_cell_length_c 8.7145
_cell_angle_alpha 90.00
_cell_angle_beta 90.00
_cell_angle_gamma 90.00
loop_
_space_group_symop_operation_xyz
'x,y,z'
loop_
_atom_site_label
_atom_site_type_symbol
_atom_site_fract_x
_atom_site_fract_y
_atom_site_fract_z
Cd1 Cd 0.5000 0.5000 0.0000
Sc1 Sc 0.0000 0.0000 0.2254
Sc2 Sc 0.0000 0.0000 0.7746
Ho1 Ho 0.5000 0.5000 0.5000

(6)
# Ho4Sc5Cd, optimized geometry, DFT PBE
# DFT total energy in eV/atom: -4.969
# Energy relative to the elements in eV per atom: 0.120
# Size of the total moment in μB/f.u.: 0.00
data_Ho4Sc5Cd
_chemical_formula_sum 'Ho4 Sc5 Cd1'
_space_group_name_H-M_alt 'P 1'
_space_group_IT_number 1
_cell_length_a 5.4268
_cell_length_b 7.6541
_cell_length_c 7.6541
_cell_angle_alpha 82.78
_cell_angle_beta 69.24
_cell_angle_gamma 69.24
loop_
_space_group_symop_operation_xyz
'x,y,z'
loop_
_atom_site_label
_atom_site_type_symbol
_atom_site_fract_x
_atom_site_fract_y
_atom_site_fract_z
Sc1 Sc 0.1409 0.6319 0.0001
Sc2 Sc 0.7729 0.0001 0.3681
Sc3 Sc 0.1410 0.9999 0.6319
Sc4 Sc 0.7729 0.3681 0.9999
Sc5 Sc 0.6724 0.0000 0.0000
Ho1 Ho 0.4556 0.3173 0.6828
Ho2 Ho 0.4556 0.6827 0.3172
Ho3 Ho 0.1383 0.3172 0.3173
Ho4 Ho 0.7729 0.6828 0.6827
Cd1 Cd 0.1878 0.0000 0.0000

(7)
# Ho3Sc7Cd2, optimized geometry, DFT PBE
# DFT total energy in eV/atom: -4.984
# Energy relative to the elements in eV per atom: 0.007
# Size of the total moment in μB/f.u.: 0.00
data_Ho3Sc7Cd2
_chemical_formula_sum 'Ho3 Sc7 Cd2'
_space_group_name_H-M_alt 'P 1'
_space_group_IT_number 1
_cell_length_a 3.3857
_cell_length_b 5.3195
_cell_length_c 17.2815
_cell_angle_alpha 94.49
_cell_angle_beta 90.00
_cell_angle_gamma 90.00
loop_
_space_group_symop_operation_xyz
'x,y,z'
loop_
_atom_site_label
_atom_site_type_symbol
_atom_site_fract_x
_atom_site_fract_y
_atom_site_fract_z
Sc1 Sc 0.0000 0.0000 0.0000
Sc2 Sc 0.5000 0.8104 0.8353
Sc3 Sc 0.0000 0.6897 0.1516
Sc4 Sc 0.0000 0.3103 0.8484
Sc5 Sc 0.5000 0.1896 0.1647
Sc6 Sc 0.5000 0.7396 0.4611
Sc7 Sc 0.5000 0.2604 0.5389
Cd1 Cd 0.5000 0.6976 0.2916
Cd2 Cd 0.5000 0.3024 0.7084
Ho1 Ho 0.5000 0.5000 0.0000
Ho2 Ho 0.0000 0.7838 0.6347
Ho3 Ho 0.0000 0.2162 0.3653

(8)
# HoSc4Cd5, optimized geometry, DFT PBE
# DFT total energy in eV/atom: -3.742
# Energy relative to the elements in eV per atom: -0.294
# Size of the total moment in μB/f.u.: 0.00
data_HoSc4Cd5
_chemical_formula_sum 'Ho1 Sc4 Cd5'
_space_group_name_H-M_alt 'P 1'
_space_group_IT_number 1
_cell_length_a 3.5692
_cell_length_b 3.5692
_cell_length_c 17.9522
_cell_angle_alpha 90.00
_cell_angle_beta 90.00
_cell_angle_gamma 90.00
loop_
_space_group_symop_operation_xyz
'x,y,z'
loop_
_atom_site_label
_atom_site_type_symbol
_atom_site_fract_x
_atom_site_fract_y
_atom_site_fract_z
Sc1 Sc 0.0000 0.0000 0.4025
Sc2 Sc 0.0000 0.0000 0.7927
Sc3 Sc 0.0000 0.0000 0.5975
Sc4 Sc 0.0000 0.0000 0.2073
Cd1 Cd 0.5000 0.5000 0.3046
Cd2 Cd 0.5000 0.5000 0.6954
Cd3 Cd 0.5000 0.5000 0.8887
Cd4 Cd 0.5000 0.5000 0.1113
Cd5 Cd 0.5000 0.5000 0.5000
Ho1 Ho 0.0000 0.0000 0.0000